[1]
First-principles (GGA-PBE) data for Ac2Hg2PdO6 after structural relaxation, as listed in Alexandria.

As for the total magnetization: 0.00 μB/cell. The calculation puts the uncorrected energy at -173.67 eV per cell. Its density of states at the Fermi level is 3.7 states/eV/f.u.

The space group is R-3m (No. 166, hexagonal axes) and the conventional cell measures 6.5514, 6.5514 and 16.1479 Å, with angles of 90.00, 90.00 and 120.00 degrees. The distinct sites, in fractional coordinates, are Ac at (0.0000, 0.0000, 0.2012), Hg at (0.0000, 0.0000, 0.4118), Pd at (0.0000, 0.0000, 0.0000) and O at (0.0604, 0.5302, 0.7557).


[2]
First-principles (GGA-PBE) data for MnFe2Ni after structural relaxation, as listed in Alexandria.

As for the total magnetization: 8.43 μB/cell. For the formation enthalpy at 0 K, the calculation gives 0.069 eV/atom. Its density of states at the Fermi level is 4.8 states/eV/f.u.

The space group is P4mm (No. 99) and the conventional cell measures 2.8766, 2.8766 and 5.6980 Å, with angles of 90.00, 90.00 and 90.00 degrees. The distinct sites, in fractional coordinates, are Mn at (0.0000, 0.0000, 0.0000), Fe at (0.0000, 0.0000, 0.5084), Fe at (0.5000, 0.5000, 0.7451) and Ni at (0.5000, 0.5000, 0.2561).


[3]
First-principles (GGA-PBE) data for Er2SiRu after structural relaxation, as listed in Alexandria.

As for the total magnetization: 0.00 μB/cell. The energy above the most stable polymorph in this dataset is 0.000 eV/atom. Its density of states at the Fermi level is 2.6 states/eV/f.u.

The space group is P2_1/m (No. 11) and the conventional cell measures 5.8921, 3.6490 and 8.2807 Å, with angles of 90.00, 106.83 and 90.00 degrees. The distinct sites, in fractional coordinates, are Er at (0.2068, 0.2500, 0.4215), Er at (0.2770, 0.7500, 0.0601), Si at (0.3600, 0.7500, 0.7195) and Ru at (0.1222, 0.2500, 0.7818).


[4]
First-principles (GGA-PBE) data for Cs2K2Rb3 after structural relaxation, as listed in Alexandria.

As for the total magnetization: 0.00 μB/cell. The energy above the most stable polymorph in this dataset is 0.000 eV/atom. For the formation enthalpy at 0 K, the calculation gives 0.005 eV/atom. Its density of states at the Fermi level is 6.1 states/eV/f.u.

The space group is C2/m (No. 12) and the conventional cell measures 15.9157, 7.3723 and 10.9530 Å, with angles of 90.00, 96.41 and 90.00 degrees. The distinct sites, in fractional coordinates, are Cs at (0.0814, 0.0000, 0.2113), K at (0.1388, 0.5000, 0.9296), Rb at (0.0000, 0.5000, 0.5000) and Rb at (0.2097, 0.0000, 0.6560).


[5]
First-principles (GGA-PBE) data for CePr3Dy6Tm2 after structural relaxation, as listed in Alexandria.

As for the total magnetization: 2.31 μB/cell. For the formation enthalpy at 0 K, the calculation gives 0.038 eV/atom. Its density of states at the Fermi level is 18.8 states/eV/f.u.

The space group is C2/m (No. 12) and the conventional cell measures 6.1984, 10.7361 and 11.8361 Å, with angles of 90.00, 100.04 and 90.00 degrees. The distinct sites, in fractional coordinates, are Ce at (0.0000, 0.0000, 0.0000), Pr at (0.0000, 0.1676, 0.5000), Pr at (0.0000, 0.5000, 0.5000), Dy at (0.2475, 0.1656, 0.2447), Dy at (0.2497, 0.0000, 0.7551) and Tm at (0.0000, 0.3332, 0.0000).


[6]
First-principles (GGA-PBE) data for CoCuPd3 after structural relaxation, as listed in Alexandria.

As for the total magnetization: 5.33 μB/cell. The energy above the most stable polymorph in this dataset is 0.049 eV/atom. For the formation enthalpy at 0 K, the calculation gives 0.027 eV/atom. Its density of states at the Fermi level is 4.4 states/eV/f.u.

The space group is P-1 (No. 2) and the conventional cell measures 2.7073, 6.4083 and 8.7449 Å, with angles of 102.33, 98.85 and 102.14 degrees. The distinct sites, in fractional coordinates, are Co at (0.1412, 0.3280, 0.4539), Cu at (0.1232, 0.6970, 0.0502), Pd at (0.1394, 0.9312, 0.8453), Pd at (0.3595, 0.8651, 0.3582) and Pd at (0.3994, 0.5296, 0.7673).